First-principles (PBE) data for a relaxed structure of NdAgH6Ir, as listed in Alexandria via LeMat-Bulk.

Unit cell a=4.8407 b=4.8407 c=4.3766 alpha=90.00 beta=90.00 gamma=120.00
Space group P312 (No. 149)
Unique sites:
Nd1 0.0000 0.0000 0.0000 x1
Ag1 0.3333 0.6667 0.5000 x1
H1 0.5198 0.0418 0.7760 x6
Ir1 0.6667 0.3333 0.5000 x1

Calculated values
- Theoretical density: 8.42 g/cm³
- Electronic total energy: -38.6 eV per cell

First-principles (PBE) data for a relaxed structure of Ni2AgHIr, as listed in Alexandria via LeMat-Bulk.

Unit cell a=3.9157 b=3.9157 c=3.7069 alpha=90.00 beta=90.00 gamma=90.00
Space group P4/mmm (No. 123)
Unique sites:
Ni1 0.0000 0.5000 0.0000 x2
Ag1 0.0000 0.0000 0.5000 x1
H1 0.5000 0.5000 0.0000 x1
Ir1 0.5000 0.5000 0.5000 x1

Calculated values
- Theoretical density: 12.23 g/cm³
- Electronic total energy: -25.5 eV per cell

Repeat the first record exactly.
First-principles (PBE) data for a relaxed structure of NdAgH6Ir, as listed in Alexandria via LeMat-Bulk.

Unit cell a=4.8407 b=4.8407 c=4.3766 alpha=90.00 beta=90.00 gamma=120.00
Space group P312 (No. 149)
Unique sites:
Nd1 0.0000 0.0000 0.0000 x1
Ag1 0.3333 0.6667 0.5000 x1
H1 0.5198 0.0418 0.7760 x6
Ir1 0.6667 0.3333 0.5000 x1

Calculated values
- Theoretical density: 8.42 g/cm³
- Electronic total energy: -38.6 eV per cell